A plane-wave DFT calculation with PBE was carried out for Rb7SrGd2B15O30 after structural relaxation.

Unit cell a=13.3739 b=13.3739 c=15.2320 alpha=90.00 beta=90.00 gamma=120.00
Space group R32 (No. 155, hexagonal axes)
One atom of each set of equivalent atoms:
Rb 0.0000 0.0000 0.0000 x3
Rb 0.0000 0.4572 0.5000 x9
Rb 0.0000 0.4781 0.0000 x9
Sr 0.0000 0.0000 0.5000 x3
Gd 0.0000 0.0000 0.2720 x6
B 0.0000 0.7418 0.0000 x9
B 0.0820 0.5539 0.2797 x18
B 0.0965 0.8660 0.1329 x18
O 0.0024 0.8081 0.0783 x18
O 0.0090 0.4829 0.2118 x18
O 0.0403 0.6034 0.3383 x18
O 0.0475 0.1440 0.6205 x18
O 0.0611 0.1625 0.1954 x18

Values from the calculation:
For the total energy, the calculation gives -1220.63 eV for the cell shown.

A plane-wave DFT calculation with PBE was carried out for HfCd2Ni after structural relaxation.

Unit cell a=6.565 b=6.565 c=6.565 alpha=90.00 beta=90.00 gamma=90.00
Space group F-43m (No. 216)
One atom of each set of equivalent atoms:
Hf 0.000 0.000 0.000 x4
Cd 0.000 0.000 0.500 x4
Cd 0.250 0.250 0.250 x4
Ni 0.250 0.250 0.750 x4

Values from the calculation:
The calculation puts the calculated formation energy at -2.2 kJ/mol of atoms.

A plane-wave DFT calculation with PBE was carried out for Cu2Ag3 after structural relaxation.

Unit cell a=11.043 b=2.891 c=9.761 alpha=90.00 beta=95.97 gamma=90.00
Space group C2/m (No. 12)
One atom of each set of equivalent atoms:
Cu 0.160 0.000 0.455 x4
Cu 0.247 0.000 0.714 x4
Ag 0.042 0.500 0.641 x4
Ag 0.073 0.000 0.148 x4
Ag 0.157 0.500 0.918 x4

Values from the calculation:
As for the energy above the most stable polymorph in this dataset: 32 meV/atom. The calculation puts the calculated formation energy at 6.2 kJ/mol of atoms.

A plane-wave DFT calculation with PBE was carried out for SrLu2S4 after structural relaxation.

Unit cell a=11.921 b=3.914 c=14.123 alpha=90.00 beta=90.00 gamma=90.00
Space group Pnma (No. 62)
One atom of each set of equivalent atoms:
Sr 0.239 0.250 0.165 x4
Lu 0.062 0.250 0.390 x4
Lu 0.082 0.250 0.901 x4
S 0.027 0.750 0.784 x4
S 0.088 0.250 0.577 x4
S 0.126 0.750 0.028 x4
S 0.204 0.750 0.333 x4

Values from the calculation:
For the total energy, the calculation gives -168.65 eV for the cell shown.

A plane-wave DFT calculation with PBE was carried out for Sm4C2I4Br after structural relaxation.

Unit cell a=20.130 b=3.967 c=8.501 alpha=90.00 beta=103.36 gamma=90.00
Space group C2/m (No. 12)
One atom of each set of equivalent atoms:
Sm 0.000 0.000 0.196 x4
Sm 0.150 0.500 0.089 x4
C 0.036 0.500 0.021 x4
I 0.160 0.000 0.373 x4
I 0.167 0.000 0.817 x4
Br 0.000 0.500 0.500 x2

Values from the calculation:
For the total energy, the calculation gives -114.88 eV for the cell shown.

A plane-wave DFT calculation with PBE was carried out for CsPmMg after structural relaxation.

Unit cell a=8.283 b=8.283 c=8.283 alpha=90.00 beta=90.00 gamma=90.00
Space group F-43m (No. 216)
One atom of each set of equivalent atoms:
Cs 0.000 0.000 0.000 x4
Pm 0.250 0.250 0.250 x4
Mg 0.000 0.000 0.500 x4

Values from the calculation:
For the total energy, the calculation gives -18.16 eV for the cell shown.

A plane-wave DFT calculation with PBE was carried out for RbCoCuSe2S after structural relaxation.

Unit cell a=3.615 b=15.117 c=9.627 alpha=90.00 beta=90.00 gamma=90.00
Space group Cmcm (No. 63)
One atom of each set of equivalent atoms:
Rb 0.000 0.248 0.250 x4
Co 0.000 0.500 0.000 x4
Cu 0.000 0.034 0.750 x4
Se 0.000 0.106 0.532 x8
S 0.000 0.445 0.750 x4

Values from the calculation:
For the total energy, the calculation gives -100.81 eV for the cell shown.

A plane-wave DFT calculation with PBE was carried out for BeTlFeRe after structural relaxation.

Unit cell a=6.094 b=6.094 c=6.094 alpha=90.00 beta=90.00 gamma=90.00
Space group F-43m (No. 216)
One atom of each set of equivalent atoms:
Be 0.000 0.000 0.000 x4
Tl 0.250 0.250 0.250 x4
Fe 0.000 0.000 0.500 x4
Re 0.250 0.250 0.750 x4

Values from the calculation:
As for the energy above the most stable polymorph in this dataset: 0 meV/atom.

A plane-wave DFT calculation with PBE was carried out for KLiNb2S4 after structural relaxation.

Unit cell a=3.4325 b=3.4325 c=16.5545 alpha=90.00 beta=90.00 gamma=120.00
Space group P-3m1 (No. 164)
One atom of each set of equivalent atoms:
K 0.0000 0.0000 0.0000 x1
Li 0.0000 0.0000 0.5000 x1
Nb 0.3333 0.6667 0.2704 x2
S 0.0000 0.0000 0.1776 x2
S 0.0000 0.0000 0.3636 x2

Values from the calculation:
For the total energy, the calculation gives -47.64 eV for the cell shown.

A plane-wave DFT calculation with PBE was carried out for LuGaPd after structural relaxation.

Unit cell a=6.511 b=6.511 c=6.511 alpha=90.00 beta=90.00 gamma=90.00
Space group F-43m (No. 216)
One atom of each set of equivalent atoms:
Lu 0.000 0.000 0.000 x4
Ga 0.250 0.250 0.750 x4
Pd 0.250 0.250 0.250 x4

Values from the calculation:
For the total energy, the calculation gives -53.21 eV for the cell shown.

A plane-wave DFT calculation with PBE was carried out for SrZnSO after structural relaxation.

Unit cell a=6.555 b=7.497 c=8.529 alpha=90.00 beta=90.00 gamma=90.00
Space group P2_12_12_1 (No. 19)
One atom of each set of equivalent atoms:
Sr 0.076 0.116 0.071 x4
Zn 0.130 0.603 0.985 x4
S 0.180 0.159 0.404 x4
O 0.227 0.372 0.974 x4

Values from the calculation:
For the total energy, the calculation gives -74.25 eV for the cell shown.

A plane-wave DFT calculation with PBE was carried out for KLiPtW after structural relaxation.

Unit cell a=6.870 b=6.870 c=6.870 alpha=90.00 beta=90.00 gamma=90.00
Space group F-43m (No. 216)
One atom of each set of equivalent atoms:
K 0.000 0.000 0.000 x4
Li 0.000 0.000 0.500 x4
Pt 0.250 0.250 0.750 x4
W 0.250 0.250 0.250 x4

Values from the calculation:
As for the energy above the most stable polymorph in this dataset: 606 meV/atom.